(1)
First-principles (PBE) data for a geometry-optimized LaPm10Tm6 structure, as listed in the Alexandria database.

It has space group P-31m (No. 162), with a = 9.7990 Å, b = 9.7990 Å, c = 6.8859 Å, α = 90.00°, β = 90.00° and γ = 120.00°. The inequivalent atoms are La at (0.0000, 0.0000, 0.0000), Pm at (0.0000, 0.2803, 0.3225), Pm at (0.3333, 0.6667, 0.0000), Pm at (0.3333, 0.6667, 0.5000) and Tm at (0.0000, 0.3695, 0.8137).

The calculated volume is 572.6 Å³/f.u. The electronic total energy comes out at -77.0 eV/cell. The calculated formation energy is 0.14 eV/atom.



(2)
First-principles (PBE) data for a geometry-optimized La3Pm2Tm2 structure, as listed in the Alexandria database.

It has space group C2/m (No. 12), with a = 12.089 Å, b = 3.660 Å, c = 10.873 Å, α = 90.00°, β = 96.08° and γ = 90.00°. The inequivalent atoms are La at (0.000, 0.000, 0.000), La at (0.143, 0.000, 0.571), Pm at (0.216, 0.500, 0.857) and Tm at (0.072, 0.500, 0.285).

As for the relative energy among the computed polymorphs: 0.000 eV/atom. The calculated volume is 239.2 Å³/f.u. The electronic total energy comes out at -66.1 eV/cell. The calculated formation energy is 0.02 eV/atom.



(3)
First-principles (PBE) data for a geometry-optimized LaPm3Tm5 structure, as listed in the Alexandria database.

It has space group I4/mcm (No. 140), with a = 8.678 Å, b = 8.678 Å, c = 15.488 Å, α = 90.00°, β = 90.00° and γ = 90.00°. The inequivalent atoms are La at (0.000, 0.500, 0.250), Pm at (0.000, 0.000, 0.250), Pm at (0.117, 0.383, 0.000), Tm at (0.000, 0.000, 0.000) and Tm at (0.208, 0.292, 0.364).

The calculated volume is 291.6 Å³/f.u. The electronic total energy comes out at -157.3 eV/cell. The calculated formation energy is 0.25 eV/atom.



(4)
First-principles (PBE) data for a geometry-optimized LaPm7Tm4 structure, as listed in the Alexandria database.

It has space group P-3m1 (No. 164), with a = 3.6051 Å, b = 3.6051 Å, c = 35.2847 Å, α = 90.00°, β = 90.00° and γ = 120.00°. The inequivalent atoms are La at (0.0000, 0.0000, 0.0000), Pm at (0.0000, 0.0000, 0.2509), Pm at (0.0000, 0.0000, 0.5000), Pm at (0.3333, 0.6667, 0.6637), Pm at (0.3333, 0.6667, 0.9127), Tm at (0.3333, 0.6667, 0.1688) and Tm at (0.3333, 0.6667, 0.4182).

As for the relative energy among the computed polymorphs: 0.020 eV/atom. The calculated volume is 397.2 Å³/f.u. The electronic total energy comes out at -55.8 eV/cell. The calculated formation energy is 0.02 eV/atom.



(5)
First-principles (PBE) data for a geometry-optimized La6Pm3Tm structure, as listed in the Alexandria database.

It has space group P2_1/m (No. 11), with a = 11.763 Å, b = 3.596 Å, c = 17.722 Å, α = 90.00°, β = 109.37° and γ = 90.00°. The inequivalent atoms are La at (0.049, 0.250, 0.108), La at (0.150, 0.250, 0.799), La at (0.258, 0.250, 0.506), La at (0.347, 0.750, 0.193), La at (0.445, 0.250, 0.394), La at (0.445, 0.750, 0.900), Pm at (0.052, 0.750, 0.601), Pm at (0.245, 0.250, 0.999), Pm at (0.347, 0.250, 0.702) and Tm at (0.153, 0.750, 0.312).

As for the relative energy among the computed polymorphs: 0.000 eV/atom. The calculated volume is 353.6 Å³/f.u. The electronic total energy comes out at -95.7 eV/cell. The calculated formation energy is 0.04 eV/atom.



(6)
First-principles (PBE) data for a geometry-optimized La3Pm8Tm2 structure, as listed in the Alexandria database.

It has space group Cmmm (No. 65), with a = 7.775 Å, b = 20.494 Å, c = 5.797 Å, α = 90.00°, β = 90.00° and γ = 90.00°. The inequivalent atoms are La at (0.000, 0.000, 0.000), La at (0.206, 0.500, 0.500), Pm at (0.000, 0.136, 0.500), Pm at (0.000, 0.324, 0.500), Pm at (0.209, 0.390, 0.000) and Tm at (0.000, 0.241, 0.000).

As for the relative energy among the computed polymorphs: 0.075 eV/atom. The calculated volume is 461.8 Å³/f.u. The electronic total energy comes out at -117.7 eV/cell. The calculated formation energy is 0.22 eV/atom.



(7)
First-principles (PBE) data for a geometry-optimized La2Pm4Tm structure, as listed in the Alexandria database.

It has space group Imma (No. 74), with a = 6.885 Å, b = 11.632 Å, c = 12.383 Å, α = 90.00°, β = 90.00° and γ = 90.00°. The inequivalent atoms are La at (0.000, 0.000, 0.000), La at (0.000, 0.250, 0.222), Pm at (0.000, 0.010, 0.642), Pm at (0.223, 0.250, 0.491) and Tm at (0.250, 0.250, 0.750).

As for the relative energy among the computed polymorphs: 0.000 eV/atom. The calculated volume is 247.9 Å³/f.u. The electronic total energy comes out at -127.4 eV/cell. The calculated formation energy is 0.21 eV/atom.



(8)
First-principles (PBE) data for a geometry-optimized La3PmTm7 structure, as listed in the Alexandria database.

It has space group P3m1 (No. 156), with a = 7.0428 Å, b = 7.0428 Å, c = 8.7487 Å, α = 90.00°, β = 90.00° and γ = 120.00°. The inequivalent atoms are La at (0.1672, 0.3343, 0.0000), Pm at (0.0000, 0.0000, 0.6589), Tm at (0.0011, 0.5005, 0.6571), Tm at (0.3331, 0.1666, 0.3391) and Tm at (0.3333, 0.6667, 0.3404).

As for the relative energy among the computed polymorphs: 0.013 eV/atom. The calculated volume is 375.8 Å³/f.u. The electronic total energy comes out at -48.9 eV/cell. The calculated formation energy is 0.18 eV/atom.



(9)
First-principles (PBE) data for a geometry-optimized La4PmTm5 structure, as listed in the Alexandria database.

It has space group P4/mmm (No. 123), with a = 3.668 Å, b = 3.668 Å, c = 24.717 Å, α = 90.00°, β = 90.00° and γ = 90.00°. The inequivalent atoms are La at (0.000, 0.000, 0.100), La at (0.000, 0.000, 0.301), Pm at (0.000, 0.000, 0.500), Tm at (0.500, 0.500, 0.000), Tm at (0.500, 0.500, 0.201) and Tm at (0.500, 0.500, 0.402).

The calculated volume is 332.6 Å³/f.u. The electronic total energy comes out at -46.5 eV/cell. The calculated formation energy is 0.03 eV/atom.



(10)
First-principles (PBE) data for a geometry-optimized La2PmTm5 structure, as listed in the Alexandria database.

It has space group P1 (No. 1), with a = 6.781 Å, b = 6.785 Å, c = 7.258 Å, α = 105.66°, β = 105.52° and γ = 115.06°. The inequivalent atoms are La at (0.000, 0.000, 0.000), La at (0.424, 0.915, 0.337), Pm at (0.509, 0.492, 0.001), Tm at (0.007, 0.999, 0.504), Tm at (0.419, 0.912, 0.834), Tm at (0.506, 0.498, 0.504), Tm at (0.922, 0.418, 0.338) and Tm at (0.923, 0.415, 0.834).

As for the relative energy among the computed polymorphs: 0.000 eV/atom. The calculated volume is 261.9 Å³/f.u. The electronic total energy comes out at -36.8 eV/cell. The calculated formation energy is 0.02 eV/atom.



(11)
First-principles (PBE) data for a geometry-optimized La5PmTm4 structure, as listed in the Alexandria database.

It has space group P4/mmm (No. 123), with a = 3.703 Å, b = 3.703 Å, c = 24.797 Å, α = 90.00°, β = 90.00° and γ = 90.00°. The inequivalent atoms are La at (0.000, 0.000, 0.000), La at (0.000, 0.000, 0.197), La at (0.000, 0.000, 0.396), Pm at (0.500, 0.500, 0.500), Tm at (0.500, 0.500, 0.099) and Tm at (0.500, 0.500, 0.296).

The calculated volume is 340.0 Å³/f.u. The electronic total energy comes out at -47.0 eV/cell. The calculated formation energy is 0.03 eV/atom.



(12)
First-principles (PBE) data for a geometry-optimized La6PmTm2 structure, as listed in the Alexandria database.

It has space group Cmmm (No. 65), with a = 9.494 Å, b = 17.915 Å, c = 3.700 Å, α = 90.00°, β = 90.00° and γ = 90.00°. The inequivalent atoms are La at (0.173, 0.166, 0.000), La at (0.175, 0.000, 0.500), Pm at (0.000, 0.500, 0.000) and Tm at (0.000, 0.324, 0.500).

The calculated volume is 314.6 Å³/f.u. The electronic total energy comes out at -84.4 eV/cell. The calculated formation energy is 0.12 eV/atom.



Please write out number 6 again, unchanged.
First-principles (PBE) data for a geometry-optimized La3Pm8Tm2 structure, as listed in the Alexandria database.

It has space group Cmmm (No. 65), with a = 7.775 Å, b = 20.494 Å, c = 5.797 Å, α = 90.00°, β = 90.00° and γ = 90.00°. The inequivalent atoms are La at (0.000, 0.000, 0.000), La at (0.206, 0.500, 0.500), Pm at (0.000, 0.136, 0.500), Pm at (0.000, 0.324, 0.500), Pm at (0.209, 0.390, 0.000) and Tm at (0.000, 0.241, 0.000).

As for the relative energy among the computed polymorphs: 0.075 eV/atom. The calculated volume is 461.8 Å³/f.u. The electronic total energy comes out at -117.7 eV/cell. The calculated formation energy is 0.22 eV/atom.